BaSmGd: optimized geometry, PBE-GGA.

* energy relative to the lowest polymorph listed for this composition: 0.000 eV per atom

Cell and atoms, written as CIF:
```
data_BaSmGd
_chemical_formula_sum 'Ba1 Sm1 Gd1'
_cell_length_a 5.843
_cell_length_b 5.843
_cell_length_c 5.843
_cell_angle_alpha 60.00
_cell_angle_beta 60.00
_cell_angle_gamma 60.00
_symmetry_space_group_name_H-M 'P 1'
_symmetry_Int_Tables_number 1
_symmetry_space_group_name_Hall 'P 1'
loop_
_atom_site_label
_atom_site_fract_x
_atom_site_fract_y
_atom_site_fract_z
_atom_site_occupancy
Ba1 0.000 0.000 0.000 1
Sm1 0.250 0.250 0.250 1
Gd1 0.500 0.500 0.500 1
```